Compound: HfMg2Ge2
Source: Alexandria via LeMat-Bulk
Functional: PBE
Structure: relaxed

CIF file:
```
data_HfMg2Ge2
_cell_length_a 7.6086
_cell_length_b 7.6086
_cell_length_c 3.3500
_cell_angle_alpha 90.00
_cell_angle_beta 90.00
_cell_angle_gamma 90.00
_space_group_name_H-M_alt 'P 1'
_space_group_IT_number 1
loop_
_space_group_symop_operation_xyz
'x,y,z'
loop_
_atom_site_label
_atom_site_fract_x
_atom_site_fract_y
_atom_site_fract_z
_atom_site_occupancy
Hf1 0.0000 0.0000 0.0000 1
Hf2 0.5000 0.5000 0.0000 1
Mg1 0.1424 0.3576 0.5000 1
Mg2 0.3576 0.8576 0.5000 1
Mg3 0.6424 0.1424 0.5000 1
Mg4 0.8576 0.6424 0.5000 1
Ge1 0.1593 0.6593 0.0000 1
Ge2 0.3407 0.1593 0.0000 1
Ge3 0.6593 0.8407 0.0000 1
Ge4 0.8407 0.3407 0.0000 1
```

## Properties
electronic total energy	-4.641	eV/atom
DFT formation energy	-0.166	eV/atom
total moment	0.000	Bohr magnetons per cell

---

Compound: Tb2CeDy3Y6
Source: Alexandria via LeMat-Bulk
Functional: PBE
Structure: relaxed

CIF file:
```
data_Tb2CeDy3Y6
_cell_length_a 6.1736
_cell_length_b 6.1736
_cell_length_c 11.7992
_cell_angle_alpha 95.00
_cell_angle_beta 95.00
_cell_angle_gamma 119.98
_space_group_name_H-M_alt 'P 1'
_space_group_IT_number 1
loop_
_space_group_symop_operation_xyz
'x,y,z'
loop_
_atom_site_label
_atom_site_fract_x
_atom_site_fract_y
_atom_site_fract_z
_atom_site_occupancy
Tb1 0.1666 0.8334 0.0000 1
Tb2 0.8334 0.1666 0.0000 1
Ce1 0.5000 0.5000 0.0000 1
Dy1 0.0000 0.0000 0.5000 1
Dy2 0.3326 0.6674 0.5000 1
Dy3 0.6674 0.3326 0.5000 1
Y1 0.0850 0.4164 0.7498 1
Y2 0.2520 0.2520 0.2504 1
Y3 0.4164 0.0850 0.7498 1
Y4 0.5836 0.9150 0.2502 1
Y5 0.7480 0.7480 0.7496 1
Y6 0.9150 0.5836 0.2502 1
```

## Properties
electronic total energy	-5.610	eV/atom
DFT formation energy	0.039	eV/atom
total moment	1.113	Bohr magnetons per cell

---

Compound: LaPrIr2
Source: Alexandria via LeMat-Bulk
Functional: PBE
Structure: relaxed

CIF file:
```
data_LaPrIr2
_cell_length_a 4.2479
_cell_length_b 5.9114
_cell_length_c 5.9114
_cell_angle_alpha 40.55
_cell_angle_beta 90.00
_cell_angle_gamma 90.00
_space_group_name_H-M_alt 'P 1'
_space_group_IT_number 1
loop_
_space_group_symop_operation_xyz
'x,y,z'
loop_
_atom_site_label
_atom_site_fract_x
_atom_site_fract_y
_atom_site_fract_z
_atom_site_occupancy
La1 0.0000 0.0000 0.0000 1
Pr1 0.5000 0.7121 0.7121 1
Ir1 0.0000 0.2782 0.2782 1
Ir2 0.5000 0.4347 0.4347 1
```

## Properties
electronic total energy	-7.491	eV/atom
DFT formation energy	-0.634	eV/atom
energy relative to the lowest polymorph listed for this composition	0.0	meV per atom
total moment	0.000	Bohr magnetons per cell

---

Compound: PrPaCdSn
Source: Alexandria via LeMat-Bulk
Functional: PBE
Structure: relaxed

CIF file:
```
data_PrPaCdSn
_cell_length_a 5.4023
_cell_length_b 5.4023
_cell_length_c 5.4023
_cell_angle_alpha 60.00
_cell_angle_beta 60.00
_cell_angle_gamma 60.00
_space_group_name_H-M_alt 'P 1'
_space_group_IT_number 1
loop_
_space_group_symop_operation_xyz
'x,y,z'
loop_
_atom_site_label
_atom_site_fract_x
_atom_site_fract_y
_atom_site_fract_z
_atom_site_occupancy
Pr1 0.0000 0.0000 0.0000 1
Pa1 0.5000 0.5000 0.5000 1
Cd1 0.7500 0.7500 0.7500 1
Sn1 0.2500 0.2500 0.2500 1
```

## Properties
electronic total energy	-4.905	eV/atom
DFT formation energy	-0.107	eV/atom
total moment	1.788	Bohr magnetons per cell

---

> What is the formula in the fourth record?

PrPaCdSn

---

> What is the formula in the third record?

LaPrIr2

---

> Which of these has the lowest DFT formation energy?

LaPrIr2

---

> Among the records above, which one has the highest total moment?

PrPaCdSn